DFT (SCAN) results for a PBEsol-optimized structure of KCrW2.

Values from the calculation:
Energy of formation: 1092 meV per atom
Density of states at the Fermi level: 3.82 states/eV/f.u.
ΔE to the lowest computed polymorph: 203 meV/atom

Cell: 2.817 3.601 8.274 Å, 90.00 90.00 90.00°
Space group Pmmm (No. 47)
Asymmetric unit:
K  0.000  0.000  0.000 x1
Cr  0.000  0.000  0.500 x1
W  0.500  0.500  0.354 x2